Tc2P: optimized geometry, GGA-PBE.

Properties
crystal system = hexagonal
total magnetic moment = 0.0 μB/f.u.
E = -8.2059 eV per atom
symmetry = No. 191
polymorph energy (0 for the lowest one) = 274 kJ/mol of formula units
formation energy from the elements = 0.5080 eV/atom

Cell lengths 4.190, 4.190, 2.940 Å; angles 90.00, 90.00, 120.00 degrees
Sites, in units of the cell vectors:
Tc (0.333, 0.667, 0.000)
Tc (0.667, 0.333, 0.000)
P (0.000, 0.000, 0.500)